Sr2MoPt | GGA-PBEsol | optimized geometry

E_form: 0.315 eV/atom
calculated volume: 27.1 Å³/atom
total magnetic moment: 0.00 Bohr magnetons per cell
E above lowest polymorph: 0.00 eV per formula unit

```
Sr2MoPt
1.0
-1.527 -2.266 -3.184
0.131 -4.269 2.974
-3.918 4.204 1.653
Mo Pt Sr
1 1 2
Cartesian
-3.974 0.807 1.332
-3.648 -0.547 -0.625
-0.205 0.042 0.069
-2.105 -1.694 2.215
```